The following is a PBE calculation of a relaxed structure of YBe2Si, from Alexandria.

Properties
* VASP energy: -4.384 eV per atom
* density: 3.5 g/cm3

Cell lengths 5.6074, 9.1769, 2.7036 Å; angles 90.00, 114.08, 90.00 degrees
Fractional positions:
Y: 0.0000 0.0000 0.0000
Y: 0.5000 0.5000 0.0000
Be: 0.2500 0.2500 0.5000
Be: 0.2500 0.7500 0.5000
Be: 0.7500 0.2500 0.5000
Be: 0.7500 0.7500 0.5000
Si: 0.0000 0.5000 0.0000
Si: 0.5000 0.0000 0.0000